First-principles (GGA-PBE) data for crystalline KTi2Mo2 at its relaxed geometry, as listed in Alexandria.

Geometry as POSCAR:
```
KTi2Mo2
1.0
4.746 0.000 0.000
0.000 4.746 0.000
2.373 2.373 4.786
Ti Mo K
2 2 1
direct
0.250 0.750 0.500 Ti
0.750 0.250 0.500 Ti
0.634 0.634 0.733 Mo
0.366 0.366 0.267 Mo
0.000 0.000 0.000 K
```

Properties
Calculated formation energy ... 1.063 eV per atom
Relative energy among the computed polymorphs ... 38.8 kJ/mol of atoms
Total moment ... 0.00 Bohr magnetons per cell